# 1
The following is a GGA-PBE calculation of crystalline Dy2Er6Tm3Th at its relaxed geometry, from Alexandria via LeMat-Bulk.

Geometry as POSCAR:
```
Dy2Er6Tm3Th
1.0
3.048 -5.274 0.000
3.048 5.274 0.000
-2.031 0.000 11.473
Dy Er Tm Th
2 6 3 1
Cartesian
3.048 3.516 0.000
3.048 -3.516 0.000
0.003 1.742 8.593
1.042 0.000 2.881
0.003 -1.742 8.593
4.062 1.742 2.880
3.023 0.000 8.592
4.062 -1.742 2.880
-1.016 0.000 5.737
2.033 1.765 5.737
2.033 -1.765 5.737
3.048 0.000 0.000
```


# 2
The following is a GGA-PBE calculation of crystalline DyEr4Tm2Th at its relaxed geometry, from Alexandria via LeMat-Bulk.

Geometry as POSCAR:
```
DyEr4Tm2Th
1.0
4.984 0.000 0.000
0.000 4.984 0.000
0.000 0.000 9.928
Dy Er Tm Th
1 4 2 1
Cartesian
0.000 0.000 0.000
0.000 2.492 2.490
0.000 2.492 7.438
2.492 0.000 2.490
2.492 0.000 7.438
0.000 0.000 4.964
2.492 2.492 0.000
2.492 2.492 4.964
```


# 3
The following is a GGA-PBE calculation of crystalline Dy4ErTm2Th at its relaxed geometry, from Alexandria via LeMat-Bulk.

Geometry as POSCAR:
```
Dy4ErTm2Th
1.0
4.985 0.000 0.000
0.000 4.996 0.000
0.000 0.000 9.998
Dy Er Tm Th
4 1 2 1
Cartesian
0.000 0.000 2.490
0.000 0.000 7.508
2.493 2.498 2.495
2.493 2.498 7.503
2.493 0.000 4.999
0.000 2.498 4.999
2.493 0.000 0.000
0.000 2.498 0.000
```


What are the calculated total energy values for these records? In order: -57.1 -39.0 -39.1 eV/cell.